1.
The following is a PBE-GGA calculation of an optimized crystal structure of TmHfMgIn, from Alexandria.

Lattice parameters (Å, degrees): 5.083 5.083 5.083 60.00 60.00 60.00
Fractional coordinates of all 4 atoms:
Tm: 0.000 0.000 0.000
Hf: 0.500 0.500 0.500
Mg: 0.250 0.250 0.250
In: 0.750 0.750 0.750

Values from the calculation:
- formation energy (meV/atom) = -77
- energy (eV/atom) = -4.7664
- DOS(E_F) (states/eV per atom) = 0.924

=====

2.
The following is a PBE-GGA calculation of an optimized crystal structure of SmMg2Zr, from Alexandria.

Lattice parameters (Å, degrees): 5.199 5.199 5.199 60.00 60.00 60.00
Fractional coordinates of all 4 atoms:
Sm: 0.000 0.000 0.000
Mg: 0.250 0.250 0.250
Mg: 0.750 0.750 0.750
Zr: 0.500 0.500 0.500

Values from the calculation:
- formation energy (meV/atom) = 50
- distance to the lowest polymorph of the same formula (meV per atom) = 25.1
- energy (eV/atom) = -4.0644
- DOS(E_F) (states/eV per atom) = 1.152

=====

3.
The following is a PBE-GGA calculation of an optimized crystal structure of BaRh5, from Alexandria.

Lattice parameters (Å, degrees): 6.687 6.687 4.077 90.00 90.00 144.35
Fractional coordinates of all 6 atoms:
Ba: 0.000 0.000 0.000
Rh: 0.185 0.815 0.500
Rh: 0.316 0.684 0.000
Rh: 0.500 0.500 0.500
Rh: 0.684 0.316 0.000
Rh: 0.815 0.185 0.500

Values from the calculation:
- formation energy (meV/atom) = 370
- energy (eV/atom) = -6.0768
- DOS(E_F) (states/eV per atom) = 1.886

=====

4.
The following is a PBE-GGA calculation of an optimized crystal structure of TcMo4Au, from Alexandria.

Lattice parameters (Å, degrees): 5.185 5.185 5.185 60.00 60.00 60.00
Fractional coordinates of all 6 atoms:
Tc: 0.000 0.000 0.000
Mo: 0.376 0.376 0.376
Mo: 0.376 0.376 0.872
Mo: 0.376 0.872 0.376
Mo: 0.872 0.376 0.376
Au: 0.750 0.750 0.750

Values from the calculation:
- formation energy (meV/atom) = 323
- energy (eV/atom) = -9.1721
- DOS(E_F) (states/eV per atom) = 0.357

=====

5.
The following is a PBE-GGA calculation of an optimized crystal structure of PBrNF2, from Alexandria.

Lattice parameters (Å, degrees): 4.751 4.751 3.677 90.00 90.00 90.00
Fractional coordinates of all 5 atoms:
P: 0.000 0.000 0.000
Br: 0.500 0.500 0.500
N: 0.500 0.500 0.000
F: 0.000 0.500 0.500
F: 0.500 0.000 0.500

Values from the calculation:
- distance to the lowest polymorph of the same formula (meV per atom) = 1020.2
- formation energy without anion corrections (eV/atom) = 1.07
- energy (eV/atom) = -2.7645
- DOS(E_F) (states/eV per atom) = 0.664

=====

6.
The following is a PBE-GGA calculation of an optimized crystal structure of CsOs3Pb, from Alexandria.

Lattice parameters (Å, degrees): 5.245 5.245 5.245 90.00 90.00 90.00
Fractional coordinates of all 5 atoms:
Cs: 0.000 0.000 0.000
Os: 0.000 0.500 0.500
Os: 0.500 0.000 0.500
Os: 0.500 0.500 0.000
Pb: 0.500 0.500 0.500

Values from the calculation:
- formation energy (meV/atom) = 2844
- distance to the lowest polymorph of the same formula (meV per atom) = 0.0
- energy (eV/atom) = -4.8058
- DOS(E_F) (states/eV per atom) = 1.550